(1)
An optimized crystal structure of PmPtBr, computed with GGA-PBE.

Unit cell a=11.6705 b=11.6705 c=4.0609 alpha=90.00 beta=90.00 gamma=160.86
Last column: nearest neighbours and their distance in Å.
Fractional positions:
Pm: 0.0839 0.9161 0.7500  2 Br 2.92, 4 Pt 3.01
Pm: 0.9161 0.0839 0.2500  2 Br 2.92, 4 Pt 3.01
Pt: 0.4629 0.5371 0.7500  2 Pt 2.65
Pt: 0.5371 0.4629 0.2500  2 Pt 2.65
Br: 0.1751 0.8249 0.2500  2 Pm 2.92
Br: 0.8249 0.1751 0.7500  2 Pm 2.92

Output
Total energy, eV/atom: -5.39
DOS(E_F), states/eV per atom: 0.1379
Raw formation energy, eV/atom: -1.2397
Size of the total moment, μB per formula unit: 0.0
Offset from the most stable computed form, meV/atom: 166
Space-group type: Cmcm, No. 63

=====

(2)
An optimized crystal structure of MgTa2IrF, computed with GGA-PBE.

Unit cell a=4.8362 b=4.8362 c=4.3824 alpha=90.00 beta=90.00 gamma=90.00
Last column: nearest neighbours and their distance in Å.
Fractional positions:
Mg: 0.0000 0.0000 0.0000  2 Ir 2.19, 4 Ta 2.42
Ta: 0.0000 0.5000 0.0000  2 Mg 2.42
Ta: 0.5000 0.0000 0.0000  2 Mg 2.42
Ir: 0.0000 0.0000 0.5000  2 Mg 2.19
F: 0.5000 0.5000 0.5000  8 Ta 3.26, 4 Ir 3.42

Output
Total energy, eV/atom: -5.39
DOS(E_F), states/eV per atom: 1.1247
Raw formation energy, eV/atom: 1.8164
Size of the total moment, μB per formula unit: 0.0
Space-group type: P4/mmm, No. 123

=====

(3)
An optimized crystal structure of NpAlAu2, computed with GGA-PBE.

Unit cell a=3.1349 b=3.1349 c=7.7710 alpha=90.00 beta=90.00 gamma=90.00
Last column: nearest neighbours and their distance in Å.
Fractional positions:
Np: 0.0000 0.0000 0.0000  4 Np 3.13, 8 Au 3.19
Al: 0.0000 0.0000 0.5000  8 Au 2.73
Au: 0.5000 0.5000 0.2952  4 Al 2.73
Au: 0.5000 0.5000 0.7048  4 Al 2.73

Output
Total energy, eV/atom: -6.05
DOS(E_F), states/eV per atom: 1.3152
ΔE_f, eV per atom: -0.24
Size of the total moment, μB per formula unit: 4.3
Space-group type: P4/mmm, No. 123